KCrRh2: relaxed, PBE-GGA.

Lattice parameters (Å, degrees): 2.793 3.851 7.520 90.00 90.00 90.00
Sites, in units of the cell vectors:
K (0.000, 0.000, 0.000)
Cr (0.500, 0.500, 0.634)
Rh (0.000, 0.000, 0.509)
Rh (0.500, 0.500, 0.314)

- E_form: 2.2 eV/f.u.
- Space-group type: No. 25
- Energy relative to the lowest polymorph listed for this composition: 255 meV per atom
- D(E_F): 1.414 states/eV per atom

=====

KCrRh2: relaxed, PBE-GGA.

Lattice parameters (Å, degrees): 5.677 5.677 5.677 150.96 125.23 63.19
Sites, in units of the cell vectors:
K (0.000, 0.000, 0.000)
Cr (0.500, 0.500, 0.000)
Rh (0.286, 0.786, 0.500)
Rh (0.714, 0.214, 0.500)

- E_form: 2.8 eV/f.u.
- Space-group type: No. 71
- Energy relative to the lowest polymorph listed for this composition: 403 meV per atom
- D(E_F): 1.153 states/eV per atom

=====

KCrRh2: relaxed, PBE-GGA.

Lattice parameters (Å, degrees): 4.515 4.515 4.515 60.00 60.00 60.00
Sites, in units of the cell vectors:
K (0.000, 0.000, 0.000)
Cr (0.500, 0.500, 0.500)
Rh (0.250, 0.250, 0.250)
Rh (0.750, 0.750, 0.750)

- E_form: 4.3 eV/f.u.
- Space-group type: No. 225
- Energy relative to the lowest polymorph listed for this composition: 790 meV per atom
- D(E_F): 2.330 states/eV per atom

=====

KCrRh4: relaxed, PBE-GGA.

Lattice parameters (Å, degrees): 5.283 5.283 5.283 60.00 60.00 60.00
Sites, in units of the cell vectors:
K (0.000, 0.000, 0.000)
Cr (0.250, 0.250, 0.250)
Rh (0.127, 0.624, 0.624)
Rh (0.624, 0.127, 0.624)
Rh (0.624, 0.624, 0.127)
Rh (0.624, 0.624, 0.624)

- E_form: 3.3 eV/f.u.
- Space-group type: No. 216
- D(E_F): 1.555 states/eV per atom

=====

K2CrRh: relaxed, PBE-GGA.

Lattice parameters (Å, degrees): 3.461 3.461 10.184 90.00 90.00 90.00
Sites, in units of the cell vectors:
K (0.000, 0.000, 0.000)
K (0.500, 0.500, 0.413)
Cr (0.500, 0.500, 0.736)
Rh (0.000, 0.000, 0.667)

- E_form: 1.9 eV/f.u.
- Space-group type: No. 99
- Energy relative to the lowest polymorph listed for this composition: 0 meV per atom
- D(E_F): 0.753 states/eV per atom

=====

K2CrRh: relaxed, PBE-GGA.

Lattice parameters (Å, degrees): 6.188 6.188 6.188 139.87 139.87 58.06
Sites, in units of the cell vectors:
K (0.250, 0.750, 0.500)
K (0.750, 0.250, 0.500)
Cr (0.000, 0.000, 0.000)
Rh (0.500, 0.500, 0.000)

- E_form: 3.9 eV/f.u.
- Space-group type: No. 139
- Energy relative to the lowest polymorph listed for this composition: 485 meV per atom
- D(E_F): 0.774 states/eV per atom

=====

KCrRh: relaxed, PBE-GGA.

Lattice parameters (Å, degrees): 4.677 4.677 4.677 60.00 60.00 60.00
Sites, in units of the cell vectors:
K (0.000, 0.000, 0.000)
Cr (0.500, 0.500, 0.500)
Rh (0.750, 0.750, 0.750)

- E_form: 3.5 eV/f.u.
- Space-group type: No. 216
- Energy relative to the lowest polymorph listed for this composition: 659 meV per atom
- D(E_F): 1.816 states/eV per atom

=====

KCrRh2: relaxed, PBE-GGA.

Lattice parameters (Å, degrees): 4.334 4.334 7.256 95.46 95.46 37.94
Sites, in units of the cell vectors:
K (0.000, 0.000, 0.000)
Cr (0.500, 0.500, 0.500)
Rh (0.227, 0.227, 0.652)
Rh (0.773, 0.773, 0.348)

- E_form: 1.9 eV/f.u.
- Space-group type: No. 12
- Energy relative to the lowest polymorph listed for this composition: 182 meV per atom
- D(E_F): 1.129 states/eV per atom

=====

K2CrRh: relaxed, PBE-GGA.

Lattice parameters (Å, degrees): 3.153 3.153 10.857 90.00 90.00 90.13
Sites, in units of the cell vectors:
K (0.000, 0.000, 0.217)
K (0.000, 0.000, 0.783)
Cr (0.500, 0.500, 0.500)
Rh (0.500, 0.500, 0.000)

- E_form: 4.3 eV/f.u.
- Space-group type: No. 65
- Energy relative to the lowest polymorph listed for this composition: 583 meV per atom
- D(E_F): 1.036 states/eV per atom

=====

KCrRh2: relaxed, PBE-GGA.

Lattice parameters (Å, degrees): 5.916 5.916 5.916 152.41 129.42 58.58
Sites, in units of the cell vectors:
K (0.000, 0.000, 0.000)
Cr (0.711, 0.211, 0.500)
Rh (0.284, 0.784, 0.500)
Rh (0.507, 0.507, 0.000)

- E_form: 3.0 eV/f.u.
- Space-group type: No. 44
- Energy relative to the lowest polymorph listed for this composition: 450 meV per atom
- D(E_F): 1.255 states/eV per atom

=====

K2CrRh: relaxed, PBE-GGA.

Lattice parameters (Å, degrees): 4.234 4.234 5.446 90.00 90.00 90.00
Sites, in units of the cell vectors:
K (0.000, 0.500, 0.000)
K (0.500, 0.000, 0.000)
Cr (0.000, 0.000, 0.500)
Rh (0.500, 0.500, 0.500)

- E_form: 3.9 eV/f.u.
- Space-group type: No. 123
- Energy relative to the lowest polymorph listed for this composition: 493 meV per atom
- D(E_F): 0.985 states/eV per atom

=====

KCrRh2: relaxed, PBE-GGA.

Lattice parameters (Å, degrees): 5.165 5.165 2.794 90.00 90.00 110.71
Sites, in units of the cell vectors:
K (0.000, 0.000, 0.000)
Cr (0.500, 0.500, 0.000)
Rh (0.000, 0.500, 0.500)
Rh (0.500, 0.000, 0.500)

- E_form: 3.4 eV/f.u.
- Space-group type: No. 65
- Energy relative to the lowest polymorph listed for this composition: 552 meV per atom
- D(E_F): 1.121 states/eV per atom

=====

KCrRh2: relaxed, PBE-GGA.

Lattice parameters (Å, degrees): 4.828 4.828 2.967 90.00 90.00 90.00
Sites, in units of the cell vectors:
K (0.000, 0.000, 0.000)
Cr (0.500, 0.500, 0.000)
Rh (0.000, 0.500, 0.500)
Rh (0.500, 0.000, 0.500)

- E_form: 3.6 eV/f.u.
- Space-group type: No. 123
- Energy relative to the lowest polymorph listed for this composition: 613 meV per atom
- D(E_F): 1.510 states/eV per atom

=====

KCrRh: relaxed, PBE-GGA.

Lattice parameters (Å, degrees): 4.750 4.750 4.750 60.00 60.00 60.00
Sites, in units of the cell vectors:
K (0.000, 0.000, 0.000)
Cr (0.750, 0.750, 0.750)
Rh (0.250, 0.250, 0.250)

- E_form: 5.5 eV/f.u.
- Space-group type: No. 216
- Energy relative to the lowest polymorph listed for this composition: 1303 meV per atom
- D(E_F): 2.476 states/eV per atom

=====

K2CrRh: relaxed, PBE-GGA.

Lattice parameters (Å, degrees): 6.241 6.241 6.241 140.51 123.60 71.03
Sites, in units of the cell vectors:
K (0.000, 0.000, 0.000)
K (0.691, 0.191, 0.500)
Cr (0.392, 0.392, 0.000)
Rh (0.294, 0.794, 0.500)

- E_form: 2.6 eV/f.u.
- Space-group type: No. 44
- Energy relative to the lowest polymorph listed for this composition: 163 meV per atom
- D(E_F): 0.597 states/eV per atom

=====

Number 1: total magnetic moment 2.89 Bohr magnetons per cell, total energy -5.811 eV per atom. Number 2: total magnetic moment 2.89 Bohr magnetons per cell, total energy -5.663 eV per atom. Number 3: total magnetic moment 0.00 Bohr magnetons per cell, total energy -5.275 eV per atom. Number 4: total magnetic moment 1.43 Bohr magnetons per cell, total energy -6.146 eV per atom. Number 5: total magnetic moment 3.73 Bohr magnetons per cell, total energy -4.309 eV per atom. Number 6: total magnetic moment 4.51 Bohr magnetons per cell, total energy -3.823 eV per atom. Number 7: total magnetic moment 4.00 Bohr magnetons per cell, total energy -4.847 eV per atom. Number 8: total magnetic moment 2.71 Bohr magnetons per cell, total energy -5.884 eV per atom. Number 9: total magnetic moment 4.59 Bohr magnetons per cell, total energy -3.725 eV per atom. Number 10: total magnetic moment 2.69 Bohr magnetons per cell, total energy -5.616 eV per atom. Number 11: total magnetic moment 4.42 Bohr magnetons per cell, total energy -3.815 eV per atom. Number 12: total magnetic moment 3.13 Bohr magnetons per cell, total energy -5.513 eV per atom. Number 13: total magnetic moment 2.99 Bohr magnetons per cell, total energy -5.452 eV per atom. Number 14: total magnetic moment 4.05 Bohr magnetons per cell, total energy -4.202 eV per atom. Number 15: total magnetic moment 4.01 Bohr magnetons per cell, total energy -4.145 eV per atom.